## ZnSbS4 (GGA-PBE)

Data for crystalline ZnSbS4 at its relaxed geometry.

Output
magnetic moment	0.7	μB/f.u.
space group	P2/m (10)
ΔE_f (raw)	-64	meV/atom

a = 3.5602 Å, b = 6.7927 Å, c = 6.2760 Å
α = 85.27°, β = 90.00°, γ = 90.00°
Closest atoms and distances in Å follow each position.
Atoms (fractional coordinates):
Zn1 0.0000 0.0000 0.0000  6 S 2.44-2.70
Sb1 0.5000 0.0000 0.5000  6 S 2.53-2.54
S1 0.0000 0.7721 0.6676  2 Sb 2.53, 1 Zn 2.70
S2 0.5000 0.1984 0.8249  2 Zn 2.44, 1 Sb 2.54
S3 0.5000 0.8016 0.1751  2 Zn 2.44, 1 Sb 2.54
S4 0.0000 0.2279 0.3324  2 Sb 2.53, 1 Zn 2.70

***

## Zr4SbS (GGA-PBE)

Data for crystalline Zr4SbS at its relaxed geometry.

Output
magnetic moment	0.0	μB/f.u.
space group	C2/c (15)
ΔE_f (raw)	-670	meV/atom

a = 5.6790 Å, b = 7.8408 Å, c = 7.2274 Å
α = 113.67°, β = 101.43°, γ = 111.03°
Closest atoms and distances in Å follow each position.
Atoms (fractional coordinates):
Zr1 0.0646 0.1996 0.8273  2 S 2.70-2.79, 1 Sb 2.94
Zr2 0.7847 0.7171 0.6375  2 S 2.62-2.83
Zr3 0.2627 0.6277 0.8273  2 S 2.70-2.79, 1 Sb 2.94
Zr4 0.3528 0.9204 0.6375  2 S 2.62-2.83
Zr5 0.6472 0.0796 0.3625  2 S 2.62-2.83
Zr6 0.7373 0.3723 0.1727  2 S 2.70-2.79, 1 Sb 2.94
Zr7 0.2153 0.2829 0.3625  2 S 2.62-2.83
Zr8 0.9354 0.8004 0.1727  2 S 2.70-2.79, 1 Sb 2.94
Sb1 0.3689 0.6189 0.2378  8 Zr 2.94-3.23
Sb2 0.6311 0.3811 0.7622  8 Zr 2.94-3.23
S1 0.2654 0.0154 0.0308  8 Zr 2.62-2.83, 2 S 2.86
S2 0.7346 0.9846 0.9692  8 Zr 2.62-2.83, 2 S 2.86

***

## Zr6SbS (GGA-PBE)

Data for crystalline Zr6SbS at its relaxed geometry.

Output
magnetic moment	0.0	μB/f.u.
space group	P-1 (2)
ΔE_f (raw)	-266	meV/atom

a = 6.2331 Å, b = 6.2793 Å, c = 6.7381 Å
α = 62.67°, β = 63.11°, γ = 60.10°
Closest atoms and distances in Å follow each position.
Atoms (fractional coordinates):
Zr1 0.0281 0.4352 0.7742  1 S 2.50, 1 Sb 2.80
Zr2 0.7617 0.0227 0.7734  1 S 2.49
Zr3 0.5648 0.2377 0.2244  1 S 2.49
Zr4 0.2383 0.9773 0.2266  1 S 2.49
Zr5 0.9719 0.5648 0.2258  1 S 2.50, 1 Sb 2.80
Zr6 0.4352 0.7623 0.7756  1 S 2.49
Sb1 0.5000 0.5000 0.5000  6 Zr 2.79-2.80
S1 0.0000 0.0000 0.0000  6 Zr 2.49-2.50

***

## Zr2Sb2S7 (GGA-PBE)

Data for crystalline Zr2Sb2S7 at its relaxed geometry.

Output
magnetic moment	0.0	μB/f.u.
space group	Imm2 (44)
ΔE_f (raw)	-883	meV/atom

a = 3.6805 Å, b = 9.3710 Å, c = 9.3710 Å
α = 82.45°, β = 78.67°, γ = 78.67°
Closest atoms and distances in Å follow each position.
Atoms (fractional coordinates):
Zr1 0.0000 0.7585 0.2415  8 S 2.63-2.78
Zr2 0.5000 0.4911 0.5089  6 S 2.52-2.59
Sb1 0.7080 0.7554 0.8287  3 S 2.51-2.59
Sb2 0.2920 0.1713 0.2446  3 S 2.51-2.59
S1 0.8050 0.0203 0.3696  2 Sb 2.51, 1 Zr 2.78
S2 0.8910 0.5145 0.7035  2 Zr 2.59, 1 Sb 2.59
S3 0.5000 0.9110 0.0890  2 Zr 2.63, 2 Sb 2.90
S4 0.6137 0.5387 0.2338  3 Zr 2.52-2.74
S5 0.3863 0.7662 0.4613  3 Zr 2.52-2.74
S6 0.1950 0.6304 0.9797  2 Sb 2.51, 1 Zr 2.78
S7 0.1090 0.2965 0.4855  2 Zr 2.59, 1 Sb 2.59

***

## Zr2Sb2S (GGA-PBE)

Data for crystalline Zr2Sb2S at its relaxed geometry.

Output
magnetic moment	0.0	μB/f.u.
space group	P4/mbm (127)
ΔE_f (raw)	-730	meV/atom

a = 7.3682 Å, b = 7.3682 Å, c = 4.1488 Å
α = 90.00°, β = 90.00°, γ = 90.00°
Closest atoms and distances in Å follow each position.
Atoms (fractional coordinates):
Sb1 0.1414 0.6414 0.5000  6 Zr 2.93-3.05, 1 Sb 2.95
Sb2 0.6414 0.8586 0.5000  6 Zr 2.93-3.05, 1 Sb 2.95
Sb3 0.8586 0.3586 0.5000  6 Zr 2.93-3.05, 1 Sb 2.95
Sb4 0.3586 0.1414 0.5000  6 Zr 2.93-3.05, 1 Sb 2.95
S1 0.0000 0.0000 0.0000  4 Zr 2.77
S2 0.5000 0.5000 0.0000  4 Zr 2.77
Zr1 0.3394 0.8394 0.0000  2 S 2.77, 6 Sb 2.93-3.05
Zr2 0.8394 0.6606 0.0000  2 S 2.77, 6 Sb 2.93-3.05
Zr3 0.6606 0.1606 0.0000  2 S 2.77, 6 Sb 2.93-3.05
Zr4 0.1606 0.3394 0.0000  2 S 2.77, 6 Sb 2.93-3.05

***

## Zr5Sb3S (GGA-PBE)

Data for crystalline Zr5Sb3S at its relaxed geometry.

Output
magnetic moment	0.0	μB/f.u.
space group	P6_3/mcm (193)
ΔE_f (raw)	-942	meV/atom

a = 8.4834 Å, b = 8.4834 Å, c = 6.1164 Å
α = 90.00°, β = 90.00°, γ = 120.00°
Closest atoms and distances in Å follow each position.
Atoms (fractional coordinates):
Zr1 0.6667 0.3333 0.0000  6 Sb 3.01, 2 Zr 3.06
Zr2 0.3333 0.6667 0.0000  6 Sb 3.01, 2 Zr 3.06
Zr3 0.3333 0.6667 0.5000  6 Sb 3.01, 2 Zr 3.06
Zr4 0.6667 0.3333 0.5000  6 Sb 3.01, 2 Zr 3.06
Zr5 0.7505 0.7505 0.7500  2 S 2.61
Zr6 0.2495 0.0000 0.7500  2 S 2.61
Zr7 0.0000 0.2495 0.7500  2 S 2.61
Zr8 0.2495 0.2495 0.2500  2 S 2.61
Zr9 0.7505 0.0000 0.2500  2 S 2.61
Zr10 0.0000 0.7505 0.2500  2 S 2.61
Sb1 0.3988 0.3988 0.7500  9 Zr 2.96-3.31
Sb2 0.6012 0.0000 0.7500  9 Zr 2.96-3.31
Sb3 0.0000 0.6012 0.7500  9 Zr 2.96-3.31
Sb4 0.6012 0.6012 0.2500  9 Zr 2.96-3.31
Sb5 0.3988 0.0000 0.2500  9 Zr 2.96-3.31
Sb6 0.0000 0.3988 0.2500  9 Zr 2.96-3.31
S1 0.0000 0.0000 0.0000  6 Zr 2.61
S2 0.0000 0.0000 0.5000  6 Zr 2.61

***

## ZrSb2S4 (GGA-PBE)

Data for crystalline ZrSb2S4 at its relaxed geometry.

Output
magnetic moment	0.0	μB/f.u.
space group	I4/mmm (139)
ΔE_f (raw)	-332	meV/atom

a = 5.1214 Å, b = 5.1214 Å, c = 7.6464 Å
α = 70.43°, β = 70.43°, γ = 90.00°
Closest atoms and distances in Å follow each position.
Atoms (fractional coordinates):
Sb1 0.6345 0.6345 0.7311  1 S 2.37
Sb2 0.3655 0.3655 0.2689  1 S 2.37
S1 0.8102 0.8102 0.3797  1 Sb 2.37, 1 Zr 2.56
S2 0.1898 0.1898 0.6203  1 Sb 2.37, 1 Zr 2.56
S3 0.0000 0.5000 0.0000  2 Zr 2.56
S4 0.5000 0.0000 0.0000  2 Zr 2.56
Zr1 0.0000 0.0000 0.0000  6 S 2.56

***

## ZrSbS4 (GGA-PBE)

Data for crystalline ZrSbS4 at its relaxed geometry.

Output
magnetic moment	0.0	μB/f.u.
space group	C2/m (12)
ΔE_f (raw)	-805	meV/atom

a = 3.7021 Å, b = 6.5839 Å, c = 7.7088 Å
α = 64.72°, β = 76.11°, γ = 90.00°
Closest atoms and distances in Å follow each position.
Atoms (fractional coordinates):
Zr1 0.0000 0.0000 0.0000  6 S 2.59-2.60
Sb1 0.5000 0.5000 0.0000  6 S 2.62-2.63
S1 0.8901 0.5651 0.2198  1 Zr 2.60, 2 Sb 2.63
S2 0.6071 0.9398 0.7858  2 Zr 2.59, 1 Sb 2.62
S3 0.3929 0.0602 0.2142  2 Zr 2.59, 1 Sb 2.62
S4 0.1099 0.4349 0.7802  1 Zr 2.60, 2 Sb 2.63

***

## ZrSbS4 (GGA-PBE)

Data for crystalline ZrSbS4 at its relaxed geometry.

Output
magnetic moment	0.0	μB/f.u.
space group	C2/m (12)
ΔE_f (raw)	-658	meV/atom

a = 5.1166 Å, b = 8.6183 Å, c = 8.1347 Å
α = 107.43°, β = 90.00°, γ = 107.27°
Closest atoms and distances in Å follow each position.
Atoms (fractional coordinates):
Zr1 0.2094 0.4188 0.3067  5 S 2.40-2.62
Zr2 0.7906 0.5812 0.6933  5 S 2.40-2.62
Sb1 0.1012 0.2023 0.7103  6 S 2.59-2.86
Sb2 0.8988 0.7977 0.2897  6 S 2.59-2.86
S1 0.0646 0.1293 0.3764  2 Sb 2.59-2.60, 1 Zr 2.62
S2 0.1015 0.2030 0.0284  1 Zr 2.40, 1 Sb 2.59
S3 0.7355 0.4710 0.3448  3 Zr 2.60-2.69, 1 Sb 2.86
S4 0.6460 0.2919 0.7475  1 Zr 2.55, 2 Sb 2.65
S5 0.3540 0.7081 0.2525  1 Zr 2.55, 2 Sb 2.65
S6 0.2645 0.5290 0.6552  3 Zr 2.60-2.69, 1 Sb 2.86
S7 0.8985 0.7970 0.9716  1 Zr 2.40, 1 Sb 2.59
S8 0.9354 0.8707 0.6236  2 Sb 2.59-2.60, 1 Zr 2.62

***

## ZrSb3S (GGA-PBE)

Data for crystalline ZrSb3S at its relaxed geometry.

Output
magnetic moment	0.7	μB/f.u.
space group	Pm-3m (221)
ΔE_f (raw)	512	meV/atom

a = 5.4905 Å, b = 5.4905 Å, c = 5.4905 Å
α = 90.00°, β = 90.00°, γ = 90.00°
Closest atoms and distances in Å follow each position.
Atoms (fractional coordinates):
Sb1 0.0000 0.5000 0.0000  2 Zr 2.75
Sb2 0.0000 0.0000 0.5000  2 Zr 2.75
Sb3 0.5000 0.0000 0.0000  2 Zr 2.75
S1 0.5000 0.5000 0.5000  12 Sb 3.88
Zr1 0.0000 0.0000 0.0000  6 Sb 2.75

***

## Zr3SbS (GGA-PBE)

Data for crystalline Zr3SbS at its relaxed geometry.

Output
magnetic moment	0.0	μB/f.u.
space group	Cmmm (65)
ΔE_f (raw)	-834	meV/atom

a = 3.9388 Å, b = 7.6670 Å, c = 7.6667 Å
α = 73.72°, β = 90.00°, γ = 90.00°
Closest atoms and distances in Å follow each position.
Atoms (fractional coordinates):
Zr1 0.8632 0.3741 0.8051  2 S 2.52
Zr2 0.8633 0.0141 0.6878  2 S 2.52
Zr3 0.8632 0.6355 0.0663  2 S 2.52
Zr4 0.3633 0.0112 0.0635  2 S 2.44
Zr5 0.8632 0.7528 0.4264  2 S 2.52
Zr6 0.3633 0.3772 0.4295  2 S 2.44
Sb1 0.3632 0.6941 0.7464  8 Zr 3.08
Sb2 0.8633 0.1942 0.2465  8 Zr 2.99-3.28
S1 0.3632 0.6942 0.2464  6 Zr 2.44-2.52
S2 0.3632 0.1941 0.7465  6 Zr 2.44-2.52

***

## Zr3SbS (GGA-PBE)

Data for crystalline Zr3SbS at its relaxed geometry.

Output
magnetic moment	0.0	μB/f.u.
space group	Pm-3m (221)
ΔE_f (raw)	-526	meV/atom

a = 4.8342 Å, b = 4.8342 Å, c = 4.8342 Å
α = 90.00°, β = 90.00°, γ = 90.00°
Closest atoms and distances in Å follow each position.
Atoms (fractional coordinates):
Sb1 0.5000 0.5000 0.5000  12 Zr 3.42
S1 0.0000 0.0000 0.0000  6 Zr 2.42
Zr1 0.0000 0.5000 0.0000  2 S 2.42
Zr2 0.0000 0.0000 0.5000  2 S 2.42
Zr3 0.5000 0.0000 0.0000  2 S 2.42